Entry A
HgHPd3: relaxed, PBE.

Values from the calculation:
- SG: C2/c (15)
- Spin magnetization: 0.000 μB per formula unit

```
HgHPd3
1.0
12.7363 0.0000 -0.3670
5.4068 4.9658 -2.3871
-5.4068 4.9658 2.3871
Pd Hg H
12 4 4
Cartesian
3.1995 1.6058 -0.0510
13.5989 5.8125 -2.0328
9.5368 8.3258 -0.3161
10.9123 5.8125 -0.9048
7.2090 4.1188 -1.8955
5.5273 5.8129 1.5285
8.1704 5.8129 0.3080
-0.8626 4.1192 1.6657
9.5676 3.3600 -0.2345
1.8240 4.1192 0.5378
3.1686 6.5717 -0.1326
4.5659 4.1188 -0.6750
12.2556 3.4091 -1.4688
0.4807 6.5226 1.1018
5.8875 6.5259 -1.2853
6.8488 3.4057 0.9182
3.4294 8.3334 0.4592
2.9387 3.3676 -0.6427
9.7976 6.5641 0.2757
9.3068 1.5982 -0.8262
```


Entry B
HgHPd3: relaxed, PBE.

Values from the calculation:
- SG: Pm-3m (221)
- Spin magnetization: 0.992 μB per formula unit

```
HgHPd3
1.0
-0.6747 -2.2783 4.5551
-0.4946 -4.5439 -2.3460
5.0690 -0.7466 0.3774
H Pd Hg
1 3 1
Cartesian
1.9499 -3.7844 1.2933
2.5345 -0.3733 0.1887
-0.3374 -1.1392 2.2775
-0.2473 -2.2719 -1.1730
0.0000 0.0000 0.0000
```


entry A takes first place; second place is 1.536 eV/atom up.


Entry A
HgHPd3: relaxed, PBE.

Values from the calculation:
- SG: Cmcm (63)
- Spin magnetization: 0.000 μB per formula unit

```
HgHPd3
1.0
2.7592 -6.8312 0.0000
2.7592 6.8312 0.0000
0.0000 0.0000 5.1123
Pd H Hg
6 2 2
Cartesian
4.1616 -2.0034 3.8342
0.0000 0.0000 2.5562
1.3568 2.0034 1.2781
4.1616 2.0034 1.2781
1.3568 -2.0034 3.8342
0.0000 0.0000 0.0000
2.7592 1.0509 1.2781
2.7592 -1.0509 3.8342
2.7592 4.3658 1.2781
2.7592 -4.3658 3.8342
```


Entry B
HgHPd3: relaxed, PBE.

Values from the calculation:
- SG: C2/m (12)
- Spin magnetization: 0.000 μB per formula unit

```
HgHPd3
1.0
15.2008 0.0000 -1.8359
6.0044 1.4630 -3.9565
-6.0044 1.4630 3.9565
Pd Hg H
6 2 2
Cartesian
5.5865 1.4630 1.8056
9.6143 1.4630 -3.6415
16.9102 1.4630 -3.1511
8.3416 1.4630 1.0531
6.8592 1.4630 -2.8890
-1.7094 1.4630 1.3152
12.2199 1.4630 -4.4906
2.9809 1.4630 2.6546
-3.1799 1.4630 2.6759
18.3807 1.4630 -4.5119
```


Entry C
HgHPd3: relaxed, PBE.

Values from the calculation:
- SG: Amm2 (38)
- Spin magnetization: 0.000 μB per formula unit

```
HgHPd3
1.0
-1.9445 0.1549 1.9615
-2.3472 -6.6738 -1.7997
4.8821 2.8572 4.6140
Pd Hg H
3 1 1
Cartesian
2.9171 0.2666 2.8708
1.5512 -2.0004 3.6464
0.2583 -0.0539 2.2111
3.2137 2.0169 4.9772
1.7836 -1.2277 1.8651
```


Entry D
HgHPd3: relaxed, PBE.

Values from the calculation:
- SG: P2_1/c (14)
- Spin magnetization: 0.000 μB per formula unit

```
HgHPd3
1.0
-9.3835 -18.4728 -0.0075
2.0867 -1.0617 4.2776
1.0039 7.7089 1.4236
Pd H Hg
12 4 4
Cartesian
-3.9871 -6.8559 3.2930
-0.0853 0.2156 2.6916
-2.3058 -4.9697 2.4007
-1.1119 -7.1202 4.1512
-5.1810 -4.7054 1.5425
-0.7745 -2.5548 2.0951
-7.3361 -9.9240 1.3857
-6.2076 -12.0412 3.0021
-0.6067 -4.2561 4.3705
1.0432 -1.9016 4.3081
-5.6862 -7.5695 1.3232
-5.5184 -9.2708 3.5986
-7.7843 -18.9076 3.1846
-3.7693 -5.9748 1.6563
1.4914 7.0820 2.5092
-2.5236 -5.8508 4.0374
-6.8076 -14.6822 3.9103
-4.6307 -10.2588 1.1668
-1.6622 -1.5668 4.5270
0.5147 2.8566 1.7834
```


entry B takes first place; second place is 0.016 eV/atom up.


Entry A
HgH2Pd3: relaxed, PBE.

Values from the calculation:
- SG: Cmc2_1 (36)
- Spin magnetization: 0.000 μB per formula unit

```
HgH2Pd3
1.0
5.0396 0.0000 0.0000
0.0000 5.1092 -2.6392
0.0000 0.0831 5.7500
Pd Hg H
6 2 4
Cartesian
3.4000 2.0004 3.9962
0.8802 0.7251 3.2322
0.0758 0.6476 0.3880
0.8802 3.1920 -0.8854
2.5957 4.5447 2.7227
3.4000 4.4672 -0.1214
2.5943 1.8506 1.1087
0.0745 3.3417 2.0020
2.6025 3.5357 -1.4693
2.6025 0.3724 3.8107
0.0827 1.6566 4.5801
0.0827 4.8199 -0.6999
```


Entry B
HgH2Pd3: relaxed, PBE.

Values from the calculation:
- SG: Imma (74)
- Spin magnetization: 0.000 μB per formula unit

```
HgH2Pd3
1.0
5.7029 0.0000 0.0000
0.0000 5.5792 0.0000
-2.8514 -2.7896 4.7010
H Hg Pd
4 2 6
Cartesian
3.7183 2.7896 1.0302
-0.8669 0.0000 3.6708
-1.9845 2.7896 3.6708
4.8360 0.0000 1.0302
1.7778 0.0000 2.3505
1.0736 2.7896 2.3505
2.8514 1.4214 0.0000
-1.4257 -1.3948 2.3505
0.0000 1.3682 0.0000
0.0000 4.2110 0.0000
2.8514 4.1577 0.0000
-1.4257 1.3948 2.3505
```


entry A takes first place; second place is 0.124 eV/atom up.


Entry A
HgH2Pd: relaxed, PBE.

Values from the calculation:
- SG: R3m (160)
- Spin magnetization: 0.000 μB per formula unit

```
HgH2Pd
1.0
2.9764 0.0000 0.0000
1.4882 2.5777 0.0000
1.4882 0.8592 6.5860
Pd Hg H
1 1 2
Cartesian
4.4647 2.5777 6.5831
2.9764 1.7184 3.2956
1.4882 0.8592 5.8860
1.4882 0.8592 0.7001
```


Entry B
HgH2Pd: relaxed, PBE.

Values from the calculation:
- SG: Fm-3m (225)
- Spin magnetization: 0.000 μB per formula unit

```
HgH2Pd
1.0
2.4104 -3.1194 -0.3816
-1.3351 -3.3442 -1.6494
1.2795 -1.0868 -3.5872
H Hg Pd
2 1 1
Cartesian
1.7661 -5.6628 -4.2137
0.5887 -1.8876 -1.4046
1.1774 -3.7752 -2.8091
0.0000 0.0000 0.0000
```


Entry C
HgH2Pd: relaxed, PBE.

Values from the calculation:
- SG: I-42d (122)
- Spin magnetization: 0.000 μB per formula unit

```
HgH2Pd
1.0
-3.3370 1.9664 -2.5728
-3.2361 -1.8904 2.7524
-3.1732 3.6546 2.7069
Hg H Pd
2 4 2
Cartesian
0.0000 0.0000 0.0000
-4.8983 2.8295 0.1119
-7.7999 3.0011 1.9055
-3.5747 0.1794 1.8119
-5.1762 2.5759 2.3794
-2.9417 1.7050 -0.3237
-3.2865 0.0380 0.0898
-4.8479 0.9011 2.7746
```


entry A takes first place; second place is 0.143 eV/atom up.